Computed, not measured: a relaxed structure of NaTiSb2 at the GGA-PBE level of DFT.

Results
Formation energy (no corrections)   -0.33 eV per atom
Crystal system   trigonal
Energy above the lowest structure with this stoichiometry   3.7 meV/atom

The structure in CIF format:
```
data_NaTiSb2
_chemical_formula_sum 'Na3 Ti3 Sb6'
_symmetry_space_group_name_H-M 'R 3 m'
_symmetry_Int_Tables_number 160
_symmetry_space_group_name_Hall 'R 3 -2"'
_cell_length_a 3.6950
_cell_length_b 3.6950
_cell_length_c 25.8532
_cell_angle_alpha 90.00
_cell_angle_beta 90.00
_cell_angle_gamma 120.00
loop_
_atom_site_label
_atom_site_fract_x
_atom_site_fract_y
_atom_site_fract_z
_atom_site_occupancy
Na1 0.0000 0.0000 0.0000 1
Ti1 0.0000 0.0000 0.1661 1
Sb1 0.0000 0.0000 0.5706 1
Sb2 0.0000 0.0000 0.7619 1
```